(1)
A relaxed structure of Sr2YRe, computed with PBE.

## Properties
Energy above the most stable polymorph in this dataset: 1.16 eV/f.u.
V: 27.87 Å³ per atom
Calculated formation energy: 3.10 eV/f.u.
D(E_F): 6.3 states/eV/cell

Unit cell a=5.3821 b=5.3821 c=7.6985 alpha=90.00 beta=90.00 gamma=90.00
Space group I-4m2 (No. 119)
Unique sites:
Sr1 0.0000 0.0000 0.0000 x2
Sr2 0.0000 0.5000 0.2500 x2
Y1 0.0000 0.5000 0.7500 x2
Re1 0.0000 0.0000 0.5000 x2

=====

(2)
A relaxed structure of Sr2YRe, computed with PBE.

## Properties
Energy above the most stable polymorph in this dataset: 1.56 eV/f.u.
V: 28.77 Å³ per atom
Calculated formation energy: 3.51 eV/f.u.
D(E_F): 8.4 states/eV/cell

Unit cell a=4.6722 b=4.6722 c=10.5427 alpha=90.00 beta=90.00 gamma=90.00
Space group I4/mmm (No. 139)
Unique sites:
Sr1 0.0000 0.5000 0.2500 x4
Y1 0.0000 0.0000 0.0000 x2
Re1 0.0000 0.0000 0.5000 x2

=====

(3)
A relaxed structure of SrY2Re, computed with PBE.

## Properties
Energy above the most stable polymorph in this dataset: 2.32 eV/f.u.
V: 26.00 Å³ per atom
Calculated formation energy: 3.07 eV/f.u.
D(E_F): 7.0 states/eV/cell

Unit cell a=6.7610 b=10.7291 c=3.1911 alpha=90.00 beta=116.03 gamma=90.00
Space group C2/m (No. 12)
Unique sites:
Sr1 0.0000 0.0000 0.0000 x2
Y1 0.2500 0.2500 0.5000 x4
Re1 0.0000 0.5000 0.0000 x2

=====

(4)
A relaxed structure of Sr2YRe, computed with PBE.

## Properties
Energy above the most stable polymorph in this dataset: 1.73 eV/f.u.
V: 31.70 Å³ per atom
Calculated formation energy: 3.67 eV/f.u.
D(E_F): 5.2 states/eV/cell

Unit cell a=3.4549 b=3.4549 c=10.6229 alpha=90.00 beta=90.00 gamma=90.00
Space group P4/mmm (No. 123)
Unique sites:
Sr1 0.0000 0.0000 0.1941 x2
Y1 0.5000 0.5000 0.5000 x1
Re1 0.5000 0.5000 0.0000 x1

=====

(5)
A relaxed structure of Sr3YRe, computed with PBE.

## Properties
V: 41.05 Å³ per atom
Calculated formation energy: 4.57 eV/f.u.
D(E_F): 4.7 states/eV/cell

Unit cell a=5.8989 b=5.8989 c=5.8989 alpha=90.00 beta=90.00 gamma=90.00
Space group Pm-3m (No. 221)
Unique sites:
Sr1 0.0000 0.0000 0.5000 x3
Y1 0.5000 0.5000 0.5000 x1
Re1 0.0000 0.0000 0.0000 x1

=====

(6)
A relaxed structure of SrZn2Re, computed with PBE.

## Properties
Energy above the most stable polymorph in this dataset: 0.37 eV/f.u.
V: 19.88 Å³ per atom
Calculated formation energy: 1.71 eV/f.u.
D(E_F): 5.2 states/eV/cell

Unit cell a=9.1891 b=2.8288 c=6.1597 alpha=90.00 beta=96.57 gamma=90.00
Space group C2/m (No. 12)
Unique sites:
Sr1 0.0000 0.0000 0.0000 x2
Zn1 0.2380 0.0000 0.6739 x4
Re1 0.0000 0.5000 0.5000 x2